DFT (PBE) results for an optimized crystal structure of Co3SbN.

Cell and atoms, written as extended XYZ:
```
5
Lattice="3.893 0.000 0.000 0.000 3.893 0.000 0.000 0.000 3.893" Properties=species:S:1:pos:R:3 pbc="T T T"
Co 0.000 0.000 1.946
Co 0.000 1.946 0.000
Co 1.946 0.000 0.000
Sb 1.946 1.946 1.946
N 0.000 0.000 0.000
```

- DOS(E_F): 6.115 states/eV/cell
- ΔE to the lowest computed polymorph: 5 meV per atom
- Total magnetic moment: 3.02 Bohr magnetons per cell